[1]
An optimized crystal structure of GaTe2Au, computed with PBE-GGA.

a b c (Å): 7.636 7.636 6.929
angles (deg): 90.00 90.00 90.00
Space group I4/mcm (No. 140)
One atom of each set of equivalent atoms:
Ga: 0.000 0.500 0.250 x4
Te: 0.194 0.306 0.000 x8
Au: 0.000 0.000 0.250 x4

Results
* crystal system: tetragonal
* formation energy from raw total energies: 89.9 meV/atom

---

[2]
An optimized crystal structure of GaTe2Au, computed with PBE-GGA.

a b c (Å): 4.197 7.402 8.251
angles (deg): 102.56 99.18 90.86
Space group P1 (No. 1)
One atom of each set of equivalent atoms:
Ga: 0.000 0.000 0.000 x1
Ga: 0.421 0.475 0.010 x1
Te: 0.218 0.325 0.682 x1
Te: 0.546 0.200 0.180 x1
Te: 0.612 0.635 0.583 x1
Te: 0.965 0.691 0.138 x1
Au: 0.180 0.857 0.705 x1
Au: 0.710 0.106 0.734 x1

Results
* crystal system: triclinic
* formation energy from raw total energies: -157.5 meV/atom

---

[3]
An optimized crystal structure of GaTe2Au, computed with PBE-GGA.

a b c (Å): 12.899 11.526 14.044
angles (deg): 90.00 96.03 90.00
Space group C2/c (No. 15)
One atom of each set of equivalent atoms:
Ga: 0.106 0.176 0.152 x8
Ga: 0.116 0.429 0.350 x8
Te: 0.000 0.024 0.250 x4
Te: 0.000 0.320 0.027 x8
Te: 0.000 0.420 0.750 x4
Te: 0.226 0.051 0.038 x8
Te: 0.244 0.277 0.279 x8
Au: 0.117 0.140 0.519 x8
Au: 0.172 0.085 0.845 x8

Results
* crystal system: monoclinic
* formation energy from raw total energies: -199.7 meV/atom